Entry from Alexandria: a relaxed structure of Dy2MgCu (GGA-PBE).

DOS(E_F)   3.81 states/eV/f.u.
E_form   -25 kJ/mol of formula units
V   95.0 Å³/cell
Space group   Fm-3m, No. 225
Crystal system   cubic

abc: 5.1210 5.1210 5.1210
angles: 60.00 60.00 60.00
Last column: nearest neighbours and their distance in Å.
Sites, in units of the cell vectors:
Dy: 0.2500 0.2500 0.2500  4 Mg 3.14, 4 Cu 3.14
Dy: 0.7500 0.7500 0.7500  4 Cu 3.14, 4 Mg 3.14
Mg: 0.0000 0.0000 0.0000  8 Dy 3.14
Cu: 0.5000 0.5000 0.5000  8 Dy 3.14